Computed, not measured: SrLa2As3 after structural relaxation at the GGA-PBE level of DFT.

Computed properties:
E_tot	-33.45	eV/cell
ΔH_f (0 K)	-1.327	eV/atom
density	5.361	Mg/m³

Cell and atoms, written as CIF:
```
data_SrLa2As3
_cell_length_a 4.4130
_cell_length_b 4.4130
_cell_length_c 10.8383
_cell_angle_alpha 90.00
_cell_angle_beta 90.00
_cell_angle_gamma 120.00
_symmetry_space_group_name_H-M 'P -3 m 1'
_symmetry_Int_Tables_number 164
_symmetry_space_group_name_Hall '-P 3 2"'
loop_
_atom_site_label
_atom_site_fract_x
_atom_site_fract_y
_atom_site_fract_z
Sr1 0.0000 0.0000 0.0000
La1 0.3333 0.6667 0.6677
As1 0.0000 0.0000 0.5000
As2 0.3333 0.6667 0.1801
```

Computed, not measured: SrLaAs2 after structural relaxation at the GGA-PBE level of DFT.

Computed properties:
E_tot	-79.33	eV/cell
ΔH_f (0 K)	-0.981	eV/atom
density	5.085	Mg/m³
excess energy over the best structure of this formula in the dataset	216	meV per atom

Cell and atoms, written as CIF:
```
data_SrLaAs2
_cell_length_a 8.068
_cell_length_b 8.068
_cell_length_c 7.552
_cell_angle_alpha 90.00
_cell_angle_beta 90.00
_cell_angle_gamma 90.00
_symmetry_space_group_name_H-M 'I -4 2 d'
_symmetry_Int_Tables_number 122
_symmetry_space_group_name_Hall 'I -4 2bw'
loop_
_atom_site_label
_atom_site_fract_x
_atom_site_fract_y
_atom_site_fract_z
Sr1 0.000 0.000 0.000
La1 0.000 0.000 0.500
As1 0.242 0.750 0.625
```

Computed, not measured: Sr2LaAs after structural relaxation at the GGA-PBE level of DFT.

Computed properties:
E_tot	-30.00	eV/cell
ΔH_f (0 K)	-0.514	eV/atom
density	4.156	Mg/m³

Cell and atoms, written as CIF:
```
data_Sr2LaAs
_cell_length_a 4.045
_cell_length_b 5.803
_cell_length_c 13.247
_cell_angle_alpha 90.00
_cell_angle_beta 90.00
_cell_angle_gamma 90.00
_symmetry_space_group_name_H-M 'I m m 2'
_symmetry_Int_Tables_number 44
loop_
_symmetry_equiv_pos_as_xyz
'x,y,z'
'-x,-y,z'
'-x,y,z'
'x,-y,z'
'x+1/2,y+1/2,z+1/2'
'-x+1/2,-y+1/2,z+1/2'
'-x+1/2,y+1/2,z+1/2'
'x+1/2,-y+1/2,z+1/2'
loop_
_atom_site_label
_atom_site_fract_x
_atom_site_fract_y
_atom_site_fract_z
Sr1 0.000 0.000 0.000
Sr2 0.000 0.500 0.181
La1 0.000 0.000 0.352
As1 0.000 0.500 0.689
```

Computed, not measured: SrLaAs2 after structural relaxation at the GGA-PBE level of DFT.

Computed properties:
E_tot	-79.99	eV/cell
ΔH_f (0 K)	-1.022	eV/atom
density	5.780	Mg/m³
excess energy over the best structure of this formula in the dataset	175	meV per atom

Cell and atoms, written as CIF:
```
data_SrLaAs2
_cell_length_a 7.562
_cell_length_b 7.562
_cell_length_c 7.562
_cell_angle_alpha 90.00
_cell_angle_beta 90.00
_cell_angle_gamma 90.00
_symmetry_space_group_name_H-M 'F m -3 m'
_symmetry_Int_Tables_number 225
_symmetry_space_group_name_Hall '-F 4 2 3'
loop_
_atom_site_label
_atom_site_fract_x
_atom_site_fract_y
_atom_site_fract_z
Sr1 0.000 0.000 0.000
La1 0.000 0.000 0.500
As1 0.250 0.250 0.250
```